1.
## AlSbBr2 (PBE)

Data for a geometry-optimized AlSbBr2 structure.

CIF file:
```
data_AlSbBr2
_chemical_formula_sum 'Al2 Sb2 Br4'
_symmetry_space_group_name_H-M 'I m m 2'
_symmetry_Int_Tables_number 44
_cell_length_a 3.535
_cell_length_b 5.639
_cell_length_c 14.517
_cell_angle_alpha 90.00
_cell_angle_beta 90.00
_cell_angle_gamma 90.00
loop_
_symmetry_equiv_pos_as_xyz
'x,y,z'
'-x,-y,z'
'-x,y,z'
'x,-y,z'
'x+1/2,y+1/2,z+1/2'
'-x+1/2,-y+1/2,z+1/2'
'-x+1/2,y+1/2,z+1/2'
'x+1/2,-y+1/2,z+1/2'
loop_
_atom_site_label
_atom_site_fract_x
_atom_site_fract_y
_atom_site_fract_z
Al1 0.000 0.000 0.000
Sb1 0.000 0.500 0.355
Br1 0.000 0.000 0.412
Br2 0.000 0.500 0.628
```

Results
- density of states at the Fermi level (states/eV/f.u.) = 1.5
- electronic total energy (Ha/atom) = -0.112
- raw formation energy (eV per atom) = -0.240
- E above lowest polymorph (meV per atom) = 97.2


2.
## SnTeS2 (PBE)

Data for a geometry-optimized SnTeS2 structure.

CIF file:
```
data_SnTeS2
_chemical_formula_sum 'Sn4 Te4 S8'
_symmetry_space_group_name_H-M 'I -4 2 d'
_symmetry_Int_Tables_number 122
_symmetry_space_group_name_Hall 'I -4 2bw'
_cell_length_a 5.225
_cell_length_b 5.225
_cell_length_c 16.540
_cell_angle_alpha 90.00
_cell_angle_beta 90.00
_cell_angle_gamma 90.00
loop_
_atom_site_label
_atom_site_fract_x
_atom_site_fract_y
_atom_site_fract_z
Sn1 0.000 0.000 0.000
Te1 0.000 0.000 0.500
S1 0.235 0.250 0.625
```

Results
- density of states at the Fermi level (states/eV/f.u.) = 0.5
- electronic total energy (Ha/atom) = -0.137
- raw formation energy (eV per atom) = 0.116
- E above lowest polymorph (meV per atom) = 192.1


- The lowest E above lowest polymorph belongs to which entry?
  AlSbBr2


Copy entry 1 word for word.
## AlSbBr2 (PBE)

Data for a geometry-optimized AlSbBr2 structure.

CIF file:
```
data_AlSbBr2
_chemical_formula_sum 'Al2 Sb2 Br4'
_symmetry_space_group_name_H-M 'I m m 2'
_symmetry_Int_Tables_number 44
_cell_length_a 3.535
_cell_length_b 5.639
_cell_length_c 14.517
_cell_angle_alpha 90.00
_cell_angle_beta 90.00
_cell_angle_gamma 90.00
loop_
_symmetry_equiv_pos_as_xyz
'x,y,z'
'-x,-y,z'
'-x,y,z'
'x,-y,z'
'x+1/2,y+1/2,z+1/2'
'-x+1/2,-y+1/2,z+1/2'
'-x+1/2,y+1/2,z+1/2'
'x+1/2,-y+1/2,z+1/2'
loop_
_atom_site_label
_atom_site_fract_x
_atom_site_fract_y
_atom_site_fract_z
Al1 0.000 0.000 0.000
Sb1 0.000 0.500 0.355
Br1 0.000 0.000 0.412
Br2 0.000 0.500 0.628
```

Results
- density of states at the Fermi level (states/eV/f.u.) = 1.5
- electronic total energy (Ha/atom) = -0.112
- raw formation energy (eV per atom) = -0.240
- E above lowest polymorph (meV per atom) = 97.2


- Among the records above, which one has the highest raw formation energy?
  SnTeS2


- Look up the E above lowest polymorph of the first one.
  97.2 meV per atom